# PmTlRh2 | Alexandria | PBE | relaxed
# Calculated density in g cm⁻³: 11.77
# Excess energy over the best structure of this formula in the dataset in eV/atom: 0.005
# N(E_F) in states/eV per cell: 1.25
# Total magnetization in Bohr magnetons per cell: 0.00
data_PmTlRh2
_chemical_formula_sum 'Pm1 Tl1 Rh2'
_symmetry_space_group_name_H-M 'P 1'
_symmetry_Int_Tables_number 1
_symmetry_space_group_name_Hall 'P 1'
_cell_length_a 4.8022
_cell_length_b 4.8022
_cell_length_c 4.8022
_cell_angle_alpha 60.00
_cell_angle_beta 60.00
_cell_angle_gamma 60.00
loop_
_atom_site_label
_atom_site_type_symbol
_atom_site_fract_x
_atom_site_fract_y
_atom_site_fract_z
Pm1 Pm 0.5000 0.5000 0.5000
Rh1 Rh 0.2500 0.2500 0.2500
Rh2 Rh 0.7500 0.7500 0.7500
Tl1 Tl 0.0000 0.0000 0.0000